The following is a DFT calculation (PBE-GGA) of crystalline CdTc2P at its relaxed geometry.

Cell: 5.1760 5.1760 5.1760 Å, 146.20 125.52 65.67°
Closest atoms and distances in Å follow each position.
Element x y z (fractional)
Tc (0.7071, 0.7071, 0.0000)  2 P 2.35
Tc (0.2929, 0.2929, 0.0000)  2 P 2.35
P (0.5000, 0.0000, 0.5000)  4 Tc 2.35
Cd (0.0000, 0.5000, 0.5000)  4 P 2.81, 8 Tc 2.96-2.98, 2 Cd 3.01

Summary:
ΔE to the lowest computed polymorph in meV/atom: 208
Total magnetization in μB per cell: 0.0
Energy relative to the elements in eV per atom: 0.138